Y2Ni7, optimized geometry, DFT GGA-PBEsol; total moment = 4.15 μB per cell; DFT formation energy = -3.5 eV/f.u.; D(E_F) = 1.09 states/eV per atom
1.0
4.8588 0.0000 0.0000
-2.4294 4.2079 0.0000
0.0000 0.0000 23.7803
Y Ni
8 28
Cartesian
0.0000 2.8052 0.6984
0.0000 2.8052 4.1418
0.0000 2.8052 7.7483
0.0000 2.8052 11.1918
2.4294 1.4026 12.5885
2.4294 1.4026 16.0320
2.4294 1.4026 19.6385
2.4294 1.4026 23.0819
0.0000 0.0000 0.0000
0.0000 0.0000 3.9878
0.0000 0.0000 7.9023
0.0000 0.0000 11.8902
0.0000 0.0000 15.8780
0.0000 0.0000 19.7925
0.0000 1.4050 13.9279
0.0000 1.4041 17.8352
0.0000 1.4050 21.7426
-1.2126 3.5053 13.9279
-1.2134 3.5058 17.8352
-1.2126 3.5053 21.7426
0.0000 2.8052 15.8704
0.0000 2.8052 19.8001
1.2168 0.7025 2.0377
1.2160 0.7021 5.9451
1.2168 0.7025 9.8524
1.2126 3.5053 13.9279
1.2134 3.5058 17.8352
1.2126 3.5053 21.7426
2.4294 1.4026 3.9803
2.4294 1.4026 7.9099
3.6420 0.7025 2.0377
3.6428 0.7021 5.9451
3.6420 0.7025 9.8524
2.4294 2.8028 2.0377
2.4294 2.8037 5.9451
2.4294 2.8028 9.8524